Record 1
Compound: Na2YPtO4
Source: Alexandria via LeMat-Bulk
Functional: PBE-GGA
Structure: optimized geometry

a b c (Å): 5.7133 3.2809 6.0994
angles (deg): 90.00 111.87 90.00
Last column: nearest neighbours and their distance in Å.
Atoms (fractional coordinates):
1 Na 0.0000 0.0000 0.0000  6 O 2.32-2.58
2 Na 0.5000 0.5000 0.0000  6 O 2.42-2.56
3 Y 0.0000 0.5000 0.5000  6 O 2.25-2.37
4 Pt 0.5000 0.0000 0.5000  4 O 2.11
5 O 0.2167 0.0000 0.7452  2 Y 2.25, 3 Na 2.32-2.42
6 O 0.2914 0.5000 0.3065  2 Pt 2.11
7 O 0.7086 0.5000 0.6935  2 Pt 2.11
8 O 0.7833 0.0000 0.2548  2 Y 2.25, 3 Na 2.32-2.42

## Properties
crystal system = monoclinic
electronic total energy = -0.4496 Ry/atom

=====

Record 2
Compound: NaYPtO4
Source: Alexandria via LeMat-Bulk
Functional: PBE-GGA
Structure: optimized geometry

a b c (Å): 6.5618 6.5618 6.5618
angles (deg): 120.75 116.34 92.58
Last column: nearest neighbours and their distance in Å.
Atoms (fractional coordinates):
1 Na 0.3635 0.1135 0.2500  2 O 2.18
2 Na 0.6365 0.8865 0.7500  2 O 2.18
3 Y 0.0000 0.5000 0.5000  6 O 2.26-2.33
4 Y 0.5000 0.5000 0.0000  6 O 2.26-2.33
5 Pt 0.0000 0.0000 0.5000  6 O 2.08-2.09
6 Pt 0.0000 0.5000 0.0000  6 O 2.08-2.09
7 O 0.1874 0.2465 0.9409  2 Pt 2.09, 1 Y 2.33
8 O 0.1944 0.7535 0.4409  2 Pt 2.09, 1 Y 2.33
9 O 0.2286 0.2572 0.5286  1 Pt 2.08, 1 Na 2.18, 2 Y 2.26
10 O 0.2286 0.7000 0.9714  1 Pt 2.08, 1 Na 2.18, 2 Y 2.26
11 O 0.7714 0.3000 0.0286  1 Pt 2.08, 1 Na 2.18, 2 Y 2.26
12 O 0.7714 0.7428 0.4714  1 Pt 2.08, 1 Na 2.18, 2 Y 2.26
13 O 0.8056 0.2465 0.5591  2 Pt 2.09, 1 Y 2.33
14 O 0.8126 0.7535 0.0591  2 Pt 2.09, 1 Y 2.33

## Properties
crystal system = orthorhombic
electronic total energy = -0.4872 Ry/atom

=====

Record 3
Compound: Na3Y3PtO8
Source: Alexandria via LeMat-Bulk
Functional: PBE-GGA
Structure: optimized geometry

a b c (Å): 6.7785 6.7785 6.7785
angles (deg): 59.45 59.45 59.45
Last column: nearest neighbours and their distance in Å.
Atoms (fractional coordinates):
1 Na 0.0000 0.5000 0.5000  6 O 2.49-2.53
2 Na 0.5000 0.0000 0.5000  6 O 2.49-2.53
3 Na 0.5000 0.5000 0.0000  6 O 2.49-2.53
4 Y 0.0000 0.0000 0.5000  6 O 2.26-2.32
5 Y 0.0000 0.5000 0.0000  6 O 2.26-2.32
6 Y 0.5000 0.0000 0.0000  6 O 2.26-2.32
7 Pt 0.5000 0.5000 0.5000  6 O 2.11
8 O 0.2362 0.2362 0.2362  3 Y 2.26, 3 Na 2.53
9 O 0.2611 0.7208 0.7208  1 Pt 2.11, 2 Y 2.32
10 O 0.2792 0.2792 0.7389  1 Pt 2.11, 2 Y 2.32
11 O 0.2792 0.7389 0.2792  1 Pt 2.11, 2 Y 2.32
12 O 0.7208 0.2611 0.7208  1 Pt 2.11, 2 Y 2.32
13 O 0.7208 0.7208 0.2611  1 Pt 2.11, 2 Y 2.32
14 O 0.7389 0.2792 0.2792  1 Pt 2.11, 2 Y 2.32
15 O 0.7638 0.7638 0.7638  3 Y 2.26, 3 Na 2.53

## Properties
crystal system = trigonal
electronic total energy = -0.5098 Ry/atom

=====

Record 4
Compound: NaY2PtO5
Source: Alexandria via LeMat-Bulk
Functional: PBE-GGA
Structure: optimized geometry

a b c (Å): 6.5591 6.5591 5.8237
angles (deg): 90.00 90.00 90.00
Last column: nearest neighbours and their distance in Å.
Atoms (fractional coordinates):
1 Na 0.0000 0.0000 0.0000  10 O 2.91-2.96
2 Na 0.5000 0.5000 0.0000  10 O 2.91-2.96
3 Y 0.1757 0.3243 0.5000  8 O 2.23-2.49
4 Y 0.3243 0.8243 0.5000  8 O 2.23-2.49
5 Y 0.6757 0.1757 0.5000  8 O 2.23-2.49
6 Y 0.8243 0.6757 0.5000  8 O 2.23-2.49
7 Pt 0.0000 0.5000 0.0000  4 O 1.98
8 Pt 0.5000 0.0000 0.0000  4 O 1.98
9 O 0.0000 0.0000 0.5000  4 Y 2.42
10 O 0.1371 0.6371 0.2602  1 Pt 1.98
11 O 0.1371 0.6371 0.7398  1 Pt 1.98
12 O 0.3629 0.1371 0.2602  1 Pt 1.98
13 O 0.3629 0.1371 0.7398  1 Pt 1.98
14 O 0.5000 0.5000 0.5000  4 Y 2.42
15 O 0.6371 0.8629 0.2602  1 Pt 1.98
16 O 0.6371 0.8629 0.7398  1 Pt 1.98
17 O 0.8629 0.3629 0.2602  1 Pt 1.98
18 O 0.8629 0.3629 0.7398  1 Pt 1.98

## Properties
crystal system = tetragonal
electronic total energy = -0.5349 Ry/atom

=====

Record 5
Compound: Na2ZnPt2O6
Source: Alexandria via LeMat-Bulk
Functional: PBE-GGA
Structure: optimized geometry

a b c (Å): 5.4650 5.4650 5.6925
angles (deg): 98.79 98.79 120.88
Last column: nearest neighbours and their distance in Å.
Atoms (fractional coordinates):
1 Na 0.1636 0.8364 0.0000  6 O 2.42-2.47
2 Na 0.8364 0.1636 0.0000  6 O 2.42-2.47
3 Zn 0.0000 0.0000 0.5000  6 O 2.09-2.18
4 Pt 0.3347 0.6653 0.5000  6 O 2.05-2.07
5 Pt 0.6653 0.3347 0.5000  6 O 2.05-2.07
6 O 0.0571 0.4097 0.6936  2 Pt 2.05-2.07, 1 Zn 2.18
7 O 0.2753 0.2753 0.3108  2 Pt 2.07, 1 Zn 2.09
8 O 0.4097 0.0571 0.6936  2 Pt 2.05-2.07, 1 Zn 2.18
9 O 0.5903 0.9429 0.3064  2 Pt 2.05-2.07, 1 Zn 2.18
10 O 0.7247 0.7247 0.6892  2 Pt 2.07, 1 Zn 2.09
11 O 0.9429 0.5903 0.3064  2 Pt 2.05-2.07, 1 Zn 2.18

## Properties
crystal system = monoclinic
electronic total energy = -0.3837 Ry/atom

=====

Record 6
Compound: Na3Zn2PtO6
Source: Alexandria via LeMat-Bulk
Functional: PBE-GGA
Structure: optimized geometry

a b c (Å): 5.4512 5.4512 5.6226
angles (deg): 99.44 99.44 119.92
Last column: nearest neighbours and their distance in Å.
Atoms (fractional coordinates):
1 Na 0.0000 0.0000 0.0000  6 O 2.36-2.49
2 Na 0.3298 0.6702 0.0000  6 O 2.37-2.45
3 Na 0.6702 0.3298 0.0000  6 O 2.37-2.45
4 Zn 0.1668 0.8332 0.5000  6 O 2.16-2.17
5 Zn 0.8332 0.1668 0.5000  6 O 2.16-2.17
6 Pt 0.5000 0.5000 0.5000  6 O 2.03-2.04
7 O 0.1157 0.4323 0.2947  1 Pt 2.04, 2 Zn 2.16-2.17
8 O 0.2525 0.2525 0.7027  1 Pt 2.03, 2 Zn 2.16
9 O 0.4323 0.1157 0.2947  1 Pt 2.04, 2 Zn 2.16-2.17
10 O 0.5677 0.8843 0.7053  1 Pt 2.04, 2 Zn 2.16-2.17
11 O 0.7475 0.7475 0.2973  1 Pt 2.03, 2 Zn 2.16
12 O 0.8843 0.5677 0.7053  1 Pt 2.04, 2 Zn 2.16-2.17

## Properties
crystal system = monoclinic
electronic total energy = -0.3501 Ry/atom

=====

Record 7
Compound: Na3ZnPt2O6
Source: Alexandria via LeMat-Bulk
Functional: PBE-GGA
Structure: optimized geometry

a b c (Å): 5.6143 5.6143 5.5410
angles (deg): 99.42 99.42 120.79
Last column: nearest neighbours and their distance in Å.
Atoms (fractional coordinates):
1 Na 0.0000 0.0000 0.0000  6 O 2.39-2.45
2 Na 0.3342 0.6658 0.0000  6 O 2.41-2.46
3 Na 0.6658 0.3342 0.0000  6 O 2.41-2.46
4 Zn 0.5000 0.5000 0.5000  6 O 2.16-2.18
5 Pt 0.1674 0.8326 0.5000  6 O 2.09-2.13
6 Pt 0.8326 0.1674 0.5000  6 O 2.09-2.13
7 O 0.0907 0.4312 0.3001  2 Pt 2.09-2.13, 1 Zn 2.18
8 O 0.2236 0.2236 0.6984  2 Pt 2.12, 1 Zn 2.16
9 O 0.4312 0.0907 0.3001  2 Pt 2.09-2.13, 1 Zn 2.18
10 O 0.5688 0.9093 0.6999  2 Pt 2.09-2.13, 1 Zn 2.18
11 O 0.7764 0.7764 0.3016  2 Pt 2.12, 1 Zn 2.16
12 O 0.9093 0.5688 0.6999  2 Pt 2.09-2.13, 1 Zn 2.18

## Properties
crystal system = monoclinic
electronic total energy = -0.3659 Ry/atom

=====

Record 8
Compound: NaPu2O6
Source: Alexandria via LeMat-Bulk
Functional: PBE-GGA
Structure: optimized geometry

a b c (Å): 8.6739 8.6739 8.6739
angles (deg): 155.32 155.32 35.18
Last column: nearest neighbours and their distance in Å.
Atoms (fractional coordinates):
1 Na 0.0000 0.0000 0.0000  8 O 2.46
2 Pu 0.3364 0.3364 0.0000  8 O 2.15-2.34
3 Pu 0.6636 0.6636 0.0000  8 O 2.15-2.34
4 O 0.0981 0.5981 0.5000  2 Pu 2.15
5 O 0.2500 0.7500 0.5000  4 Pu 2.34, 2 O 2.51
6 O 0.4019 0.9019 0.5000  2 Pu 2.15
7 O 0.5981 0.0981 0.5000  2 Pu 2.15
8 O 0.7500 0.2500 0.5000  4 Pu 2.34, 2 O 2.51
9 O 0.9019 0.4019 0.5000  2 Pu 2.15

## Properties
crystal system = tetragonal
distance to the lowest polymorph of the same formula = 0.098 eV per atom

=====

Record 9
Compound: Na3Pu4O12
Source: Alexandria via LeMat-Bulk
Functional: PBE-GGA
Structure: optimized geometry

a b c (Å): 7.1425 7.1425 7.1425
angles (deg): 109.47 109.47 109.47
Last column: nearest neighbours and their distance in Å.
Atoms (fractional coordinates):
1 Na 0.0000 0.5000 0.5000  4 O 2.44
2 Na 0.5000 0.0000 0.5000  4 O 2.44
3 Na 0.5000 0.5000 0.0000  4 O 2.44
4 Pu 0.0000 0.0000 0.5000  6 O 2.12
5 Pu 0.0000 0.5000 0.0000  6 O 2.12
6 Pu 0.5000 0.0000 0.0000  6 O 2.12
7 Pu 0.5000 0.5000 0.5000  6 O 2.12
8 O 0.0815 0.7886 0.2929  2 Pu 2.12
9 O 0.2114 0.2929 0.5043  2 Pu 2.12
10 O 0.2114 0.7071 0.9185  2 Pu 2.12
11 O 0.2929 0.0815 0.7886  2 Pu 2.12
12 O 0.2929 0.5043 0.2114  2 Pu 2.12
13 O 0.4957 0.7886 0.7071  2 Pu 2.12
14 O 0.5043 0.2114 0.2929  2 Pu 2.12
15 O 0.7071 0.4957 0.7886  2 Pu 2.12
16 O 0.7071 0.9185 0.2114  2 Pu 2.12
17 O 0.7886 0.2929 0.0815  2 Pu 2.12
18 O 0.7886 0.7071 0.4957  2 Pu 2.12
19 O 0.9185 0.2114 0.7071  2 Pu 2.12

## Properties
crystal system = cubic
electronic total energy = -0.6538 Ry/atom

=====

Record 10
Compound: NaPuO2
Source: Alexandria via LeMat-Bulk
Functional: PBE-GGA
Structure: optimized geometry

a b c (Å): 6.3226 6.3226 6.3226
angles (deg): 30.82 30.82 30.82
Last column: nearest neighbours and their distance in Å.
Atoms (fractional coordinates):
1 Na 0.0000 0.0000 0.0000  6 O 2.47-2.62
2 Pu 0.1721 0.1721 0.1721  6 O 2.36-2.38
3 O 0.4306 0.4306 0.4306  3 Pu 2.36, 3 Na 2.62
4 O 0.5818 0.5818 0.5818  3 Pu 2.38, 3 Na 2.47

## Properties
crystal system = trigonal
electronic total energy = -0.6364 Ry/atom

=====

Record 11
Compound: Na2Pu3O10
Source: Alexandria via LeMat-Bulk
Functional: PBE-GGA
Structure: optimized geometry

a b c (Å): 10.2792 10.2792 8.3762
angles (deg): 112.38 112.38 37.97
Last column: nearest neighbours and their distance in Å.
Atoms (fractional coordinates):
1 Na 0.1166 0.1166 0.1418  3 O 2.45-2.55
2 Na 0.1609 0.1609 0.7963  5 O 2.49-2.55
3 Na 0.8391 0.8391 0.2037  5 O 2.49-2.55
4 Na 0.8834 0.8834 0.8582  3 O 2.45-2.55
5 Pu 0.2479 0.7521 0.5000  4 O 1.94-2.11
6 Pu 0.3121 0.3121 0.4784  2 O 1.83-1.89
7 Pu 0.4191 0.4191 0.0242  4 O 1.90-2.11
8 Pu 0.5809 0.5809 0.9758  4 O 1.90-2.11
9 Pu 0.6879 0.6879 0.5216  2 O 1.83-1.89
10 Pu 0.7521 0.2479 0.5000  4 O 1.94-2.11
11 O 0.0000 0.5000 0.5000  2 Pu 2.11
12 O 0.0187 0.0187 0.6681  2 Pu 2.11
13 O 0.1343 0.5883 0.0273  1 Pu 1.90
14 O 0.1443 0.6433 0.4520  1 Pu 1.94
15 O 0.2590 0.2590 0.2420  1 Pu 1.83
16 O 0.3057 0.6943 0.0000  2 Pu 2.11
17 O 0.3567 0.8557 0.5480  1 Pu 1.94
18 O 0.3658 0.3658 0.7226  1 Pu 1.89
19 O 0.4117 0.8657 0.9727  1 Pu 1.90
20 O 0.4814 0.4814 0.3215  3 Pu 2.19-2.29
21 O 0.5000 0.0000 0.5000  2 Pu 2.11
22 O 0.5186 0.5186 0.6785  3 Pu 2.19-2.29
23 O 0.5883 0.1343 0.0273  1 Pu 1.90
24 O 0.6342 0.6342 0.2774  1 Pu 1.89
25 O 0.6433 0.1443 0.4520  1 Pu 1.94
26 O 0.6943 0.3057 0.0000  2 Pu 2.11
27 O 0.7410 0.7410 0.7580  1 Pu 1.83
28 O 0.8557 0.3567 0.5480  1 Pu 1.94
29 O 0.8657 0.4117 0.9727  1 Pu 1.90
30 O 0.9813 0.9813 0.3319  2 Pu 2.11

## Properties
crystal system = monoclinic
electronic total energy = -0.6372 Ry/atom

=====

Record 12
Compound: NaPuO5
Source: Alexandria via LeMat-Bulk
Functional: PBE-GGA
Structure: optimized geometry

a b c (Å): 5.8093 6.5399 7.8426
angles (deg): 106.07 99.78 106.59
Last column: nearest neighbours and their distance in Å.
Atoms (fractional coordinates):
1 Na 0.2039 0.1814 0.2348  5 O 2.33-2.52
2 Na 0.7961 0.8186 0.7652  5 O 2.33-2.52
3 Pu 0.4158 0.2617 0.8054  4 O 1.84-1.90
4 Pu 0.5842 0.7383 0.1946  4 O 1.84-1.90
5 O 0.0949 0.0919 0.5101  1 O 1.33
6 O 0.2047 0.0964 0.9111  1 Pu 1.86
7 O 0.3089 0.5106 0.8952  1 Pu 1.90
8 O 0.3895 0.5751 0.3082  1 Pu 1.84
9 O 0.4611 0.9699 0.2638  1 Pu 1.84
10 O 0.5389 0.0301 0.7362  1 Pu 1.84
11 O 0.6105 0.4249 0.6918  1 Pu 1.84
12 O 0.6911 0.4894 0.1048  1 Pu 1.90
13 O 0.7953 0.9036 0.0889  1 Pu 1.86
14 O 0.9051 0.9081 0.4899  1 O 1.33

## Properties
crystal system = triclinic
electronic total energy = -0.5570 Ry/atom